# 1
# PBE AcAgTePd, optimized geometry
data_AcAgTePd
_chemical_formula_sum 'Ac1 Ag1 Te1 Pd1'
_cell_length_a 5.220
_cell_length_b 5.220
_cell_length_c 5.220
_cell_angle_alpha 60.00
_cell_angle_beta 60.00
_cell_angle_gamma 60.00
_space_group_name_H-M_alt 'P 1'
_space_group_IT_number 1
loop_
_space_group_symop_operation_xyz
'x,y,z'
loop_
_atom_site_label
_atom_site_fract_x
_atom_site_fract_y
_atom_site_fract_z
Ac1 0.000 0.000 0.000
Ag1 0.250 0.250 0.250
Te1 0.500 0.500 0.500
Pd1 0.750 0.750 0.750
# Magnetization in μB per atom: 0.00
# Final energy in eV/cell: -17.32
# N(E_F) in states/eV per atom: 0.463



# 2
# PBE AcThAgPd, optimized geometry
data_AcThAgPd
_chemical_formula_sum 'Ac1 Th1 Ag1 Pd1'
_cell_length_a 5.344
_cell_length_b 5.344
_cell_length_c 5.344
_cell_angle_alpha 60.00
_cell_angle_beta 60.00
_cell_angle_gamma 60.00
_space_group_name_H-M_alt 'P 1'
_space_group_IT_number 1
loop_
_space_group_symop_operation_xyz
'x,y,z'
loop_
_atom_site_label
_atom_site_fract_x
_atom_site_fract_y
_atom_site_fract_z
Ac1 0.000 0.000 0.000
Th1 0.500 0.500 0.500
Ag1 0.750 0.750 0.750
Pd1 0.250 0.250 0.250
# Magnetization in μB per atom: 0.00
# N(E_F) in states/eV per atom: 1.006
# Formation enthalpy at 0 K in meV/atom: -322.3



# 3
# PBE Ac2TlAgPd6, optimized geometry
data_Ac2TlAgPd6
_chemical_formula_sum 'Ac2 Tl1 Ag1 Pd6'
_cell_length_a 7.118
_cell_length_b 7.118
_cell_length_c 7.118
_cell_angle_alpha 60.00
_cell_angle_beta 60.00
_cell_angle_gamma 60.00
_space_group_name_H-M_alt 'P 1'
_space_group_IT_number 1
loop_
_space_group_symop_operation_xyz
'x,y,z'
loop_
_atom_site_label
_atom_site_fract_x
_atom_site_fract_y
_atom_site_fract_z
Ac1 0.250 0.250 0.250
Ac2 0.750 0.750 0.750
Tl1 0.000 0.000 0.000
Ag1 0.500 0.500 0.500
Pd1 0.252 0.252 0.748
Pd2 0.252 0.748 0.252
Pd3 0.252 0.748 0.748
Pd4 0.748 0.252 0.252
Pd5 0.748 0.252 0.748
Pd6 0.748 0.748 0.252
# Magnetization in μB per atom: 0.00
# N(E_F) in states/eV per atom: 0.546
# Formation enthalpy at 0 K in meV/atom: -40.3



# 4
# PBE Ac2TmAgPd6, optimized geometry
data_Ac2TmAgPd6
_chemical_formula_sum 'Ac2 Tm1 Ag1 Pd6'
_cell_length_a 7.101
_cell_length_b 7.101
_cell_length_c 7.101
_cell_angle_alpha 60.00
_cell_angle_beta 60.00
_cell_angle_gamma 60.00
_space_group_name_H-M_alt 'P 1'
_space_group_IT_number 1
loop_
_space_group_symop_operation_xyz
'x,y,z'
loop_
_atom_site_label
_atom_site_fract_x
_atom_site_fract_y
_atom_site_fract_z
Ac1 0.250 0.250 0.250
Ac2 0.750 0.750 0.750
Tm1 0.000 0.000 0.000
Ag1 0.500 0.500 0.500
Pd1 0.249 0.249 0.751
Pd2 0.249 0.751 0.249
Pd3 0.249 0.751 0.751
Pd4 0.751 0.249 0.249
Pd5 0.751 0.249 0.751
Pd6 0.751 0.751 0.249
# Magnetization in μB per atom: 0.00
# N(E_F) in states/eV per atom: 0.382
# Formation enthalpy at 0 K in meV/atom: -189.8



# 5
# PBE AcYAgPd, optimized geometry
data_AcYAgPd
_chemical_formula_sum 'Ac1 Y1 Ag1 Pd1'
_cell_length_a 5.297
_cell_length_b 5.297
_cell_length_c 5.297
_cell_angle_alpha 60.00
_cell_angle_beta 60.00
_cell_angle_gamma 60.00
_space_group_name_H-M_alt 'P 1'
_space_group_IT_number 1
loop_
_space_group_symop_operation_xyz
'x,y,z'
loop_
_atom_site_label
_atom_site_fract_x
_atom_site_fract_y
_atom_site_fract_z
Ac1 0.000 0.000 0.000
Y1 0.500 0.500 0.500
Ag1 0.750 0.750 0.750
Pd1 0.250 0.250 0.250
# Magnetization in μB per atom: 0.00
# N(E_F) in states/eV per atom: 0.814
# Formation enthalpy at 0 K in meV/atom: -473.2



# 6
# PBE AcZnAgPd2, optimized geometry
data_AcZnAgPd2
_chemical_formula_sum 'Ac2 Zn2 Ag2 Pd4'
_cell_length_a 7.270
_cell_length_b 7.270
_cell_length_c 5.814
_cell_angle_alpha 90.00
_cell_angle_beta 90.00
_cell_angle_gamma 135.08
_space_group_name_H-M_alt 'P 1'
_space_group_IT_number 1
loop_
_space_group_symop_operation_xyz
'x,y,z'
loop_
_atom_site_label
_atom_site_fract_x
_atom_site_fract_y
_atom_site_fract_z
Ac1 0.250 0.750 0.775
Ac2 0.750 0.250 0.225
Zn1 0.250 0.250 0.500
Zn2 0.750 0.750 0.500
Ag1 0.000 0.000 0.000
Ag2 0.500 0.500 0.000
Pd1 0.147 0.853 0.313
Pd2 0.353 0.647 0.313
Pd3 0.647 0.353 0.687
Pd4 0.853 0.147 0.687
# Magnetization in μB per atom: 0.00
# N(E_F) in states/eV per atom: 0.376
# Formation enthalpy at 0 K in meV/atom: -442.8



# 7
# PBE AcZn2AgPd5, optimized geometry
data_AcZn2AgPd5
_chemical_formula_sum 'Ac1 Zn2 Ag1 Pd5'
_cell_length_a 4.734
_cell_length_b 4.734
_cell_length_c 7.542
_cell_angle_alpha 90.00
_cell_angle_beta 90.00
_cell_angle_gamma 90.00
_space_group_name_H-M_alt 'P 1'
_space_group_IT_number 1
loop_
_space_group_symop_operation_xyz
'x,y,z'
loop_
_atom_site_label
_atom_site_fract_x
_atom_site_fract_y
_atom_site_fract_z
Ac1 0.000 0.000 0.000
Zn1 0.500 0.500 0.343
Zn2 0.500 0.500 0.657
Ag1 0.000 0.000 0.500
Pd1 0.000 0.500 0.264
Pd2 0.000 0.500 0.736
Pd3 0.500 0.000 0.264
Pd4 0.500 0.000 0.736
Pd5 0.500 0.500 0.000
# Magnetization in μB per atom: 0.00
# N(E_F) in states/eV per atom: 0.317
# Formation enthalpy at 0 K in meV/atom: -354.3



# 8
# PBE Ac3ZnAg2Pd6, optimized geometry
data_Ac3ZnAg2Pd6
_chemical_formula_sum 'Ac3 Zn1 Ag2 Pd6'
_cell_length_a 5.875
_cell_length_b 5.875
_cell_length_c 8.932
_cell_angle_alpha 90.00
_cell_angle_beta 90.00
_cell_angle_gamma 120.00
_space_group_name_H-M_alt 'P 1'
_space_group_IT_number 1
loop_
_space_group_symop_operation_xyz
'x,y,z'
loop_
_atom_site_label
_atom_site_fract_x
_atom_site_fract_y
_atom_site_fract_z
Ac1 0.000 0.000 0.000
Ac2 0.333 0.667 0.623
Ac3 0.667 0.333 0.377
Zn1 0.000 0.000 0.500
Ag1 0.333 0.667 0.020
Ag2 0.667 0.333 0.980
Pd1 0.173 0.345 0.284
Pd2 0.173 0.827 0.284
Pd3 0.345 0.173 0.716
Pd4 0.655 0.827 0.284
Pd5 0.827 0.173 0.716
Pd6 0.827 0.655 0.716
# Magnetization in μB per atom: 0.00
# N(E_F) in states/eV per atom: 0.503
# Formation enthalpy at 0 K in meV/atom: -624.6



# 9
# PBE Ac2Zn3AgPd12, optimized geometry
data_Ac2Zn3AgPd12
_chemical_formula_sum 'Ac2 Zn3 Ag1 Pd12'
_cell_length_a 7.957
_cell_length_b 7.957
_cell_length_c 7.957
_cell_angle_alpha 62.96
_cell_angle_beta 62.96
_cell_angle_gamma 62.96
_space_group_name_H-M_alt 'P 1'
_space_group_IT_number 1
loop_
_space_group_symop_operation_xyz
'x,y,z'
loop_
_atom_site_label
_atom_site_fract_x
_atom_site_fract_y
_atom_site_fract_z
Ac1 0.116 0.116 0.116
Ac2 0.884 0.884 0.884
Zn1 0.000 0.500 0.500
Zn2 0.500 0.000 0.500
Zn3 0.500 0.500 0.000
Ag1 0.500 0.500 0.500
Pd1 0.109 0.640 0.640
Pd2 0.129 0.129 0.618
Pd3 0.129 0.618 0.129
Pd4 0.360 0.360 0.891
Pd5 0.360 0.891 0.360
Pd6 0.382 0.871 0.871
Pd7 0.618 0.129 0.129
Pd8 0.640 0.109 0.640
Pd9 0.640 0.640 0.109
Pd10 0.871 0.382 0.871
Pd11 0.871 0.871 0.382
Pd12 0.891 0.360 0.360
# Magnetization in μB per atom: 0.00
# N(E_F) in states/eV per atom: 0.205
# Formation enthalpy at 0 K in meV/atom: -144.3



# 10
# PBE AcZn3AgPd, optimized geometry
data_AcZn3AgPd
_chemical_formula_sum 'Ac2 Zn6 Ag2 Pd2'
_cell_length_a 7.367
_cell_length_b 7.367
_cell_length_c 5.834
_cell_angle_alpha 90.00
_cell_angle_beta 90.00
_cell_angle_gamma 126.70
_space_group_name_H-M_alt 'P 1'
_space_group_IT_number 1
loop_
_space_group_symop_operation_xyz
'x,y,z'
loop_
_atom_site_label
_atom_site_fract_x
_atom_site_fract_y
_atom_site_fract_z
Ac1 0.215 0.785 0.750
Ac2 0.785 0.215 0.250
Zn1 0.189 0.189 0.000
Zn2 0.189 0.189 0.500
Zn3 0.350 0.650 0.250
Zn4 0.650 0.350 0.750
Zn5 0.811 0.811 0.000
Zn6 0.811 0.811 0.500
Ag1 0.448 0.552 0.750
Ag2 0.552 0.448 0.250
Pd1 0.151 0.849 0.250
Pd2 0.849 0.151 0.750
# Magnetization in μB per atom: 0.00
# N(E_F) in states/eV per atom: 0.701
# Formation enthalpy at 0 K in meV/atom: -237.0



# 11
# PBE Ac2PmAg, optimized geometry
data_Ac2PmAg
_chemical_formula_sum 'Ac2 Pm1 Ag1'
_cell_length_a 5.823
_cell_length_b 5.823
_cell_length_c 5.823
_cell_angle_alpha 60.00
_cell_angle_beta 60.00
_cell_angle_gamma 60.00
_space_group_name_H-M_alt 'P 1'
_space_group_IT_number 1
loop_
_space_group_symop_operation_xyz
'x,y,z'
loop_
_atom_site_label
_atom_site_fract_x
_atom_site_fract_y
_atom_site_fract_z
Ac1 0.250 0.250 0.250
Ac2 0.750 0.750 0.750
Pm1 0.000 0.000 0.000
Ag1 0.500 0.500 0.500
# Magnetization in μB per atom: 0.00
# N(E_F) in states/eV per atom: 1.214
# Formation enthalpy at 0 K in meV/atom: 90.3
# Polymorph energy (0 for the lowest one) in kJ/mol of formula units: 72.9



# 12
# PBE Ac2PmAg, optimized geometry
data_Ac2PmAg
_chemical_formula_sum 'Ac2 Pm1 Ag1'
_cell_length_a 11.121
_cell_length_b 11.121
_cell_length_c 11.121
_cell_angle_alpha 20.51
_cell_angle_beta 20.51
_cell_angle_gamma 20.51
_space_group_name_H-M_alt 'P 1'
_space_group_IT_number 1
loop_
_space_group_symop_operation_xyz
'x,y,z'
loop_
_atom_site_label
_atom_site_fract_x
_atom_site_fract_y
_atom_site_fract_z
Ac1 0.000 0.000 0.000
Ac2 0.186 0.186 0.186
Pm1 0.426 0.426 0.426
Ag1 0.594 0.594 0.594
# Magnetization in μB per atom: 0.00
# N(E_F) in states/eV per atom: 1.109
# Formation enthalpy at 0 K in meV/atom: 11.2
# Polymorph energy (0 for the lowest one) in kJ/mol of formula units: 42.3